No. 1
# Tb3Cu2Rh

A relaxed Tb3Cu2Rh crystal (PBE-GGA, Alexandria).

N(E_F)   4.10 states/eV per cell
E above lowest polymorph   0.000 eV per formula unit
Formation enthalpy at 0 K   -42.1 kJ/mol of atoms
Space group   P4/mmm, No. 123
Energy   -5.342 eV per atom

Unit cell a=3.4729 b=3.4729 c=10.4557 alpha=90.00 beta=90.00 gamma=90.00
Fractional positions:
1 Tb 0.0000 0.0000 0.0000
2 Tb 0.0000 0.0000 0.6611
3 Tb 0.0000 0.0000 0.3389
4 Cu 0.5000 0.5000 0.8329
5 Cu 0.5000 0.5000 0.1671
6 Rh 0.5000 0.5000 0.5000

No. 2
# Tb3CuRh

A relaxed Tb3CuRh crystal (PBE-GGA, Alexandria).

N(E_F)   9.49 states/eV per cell
Formation enthalpy at 0 K   -40.3 kJ/mol of atoms
Space group   P-1, No. 2
Energy   -5.485 eV per atom

Unit cell a=5.8707 b=6.2689 c=8.3507 alpha=111.94 beta=85.35 gamma=122.24
Fractional positions:
1 Tb 0.5251 0.8282 0.1325
2 Tb 0.0699 0.3814 0.6908
3 Tb 0.7764 0.7512 0.7246
4 Tb 0.2236 0.2488 0.2754
5 Tb 0.4749 0.1718 0.8675
6 Tb 0.9301 0.6186 0.3092
7 Cu 0.5066 0.1913 0.4981
8 Cu 0.4934 0.8087 0.5019
9 Rh 0.9999 0.7384 0.0002
10 Rh 0.0001 0.2616 0.9998

No. 3
# Tb6CuRh5

A relaxed Tb6CuRh5 crystal (PBE-GGA, Alexandria).

N(E_F)   6.94 states/eV per cell
Formation enthalpy at 0 K   -72.3 kJ/mol of atoms
Space group   Cmmm, No. 65
Energy   -6.469 eV per atom

Unit cell a=4.8614 b=6.9535 c=7.6967 alpha=90.00 beta=71.59 gamma=90.00
Fractional positions:
1 Rh 0.6679 0.5000 0.6642
2 Rh 0.3349 0.0000 0.3302
3 Rh 0.0000 0.5000 0.0000
4 Rh 0.6651 0.0000 0.6698
5 Rh 0.3321 0.5000 0.3358
6 Tb 0.8320 0.7496 0.3359
7 Tb 0.8320 0.2504 0.3359
8 Tb 0.5000 0.2529 0.0000
9 Tb 0.5000 0.7471 0.0000
10 Tb 0.1679 0.7496 0.6641
11 Tb 0.1680 0.2504 0.6641
12 Cu 0.0000 0.0000 0.0000

No. 4
# Tb12CuRh6

A relaxed Tb12CuRh6 crystal (PBE-GGA, Alexandria).

N(E_F)   12.67 states/eV per cell
Formation enthalpy at 0 K   -49.9 kJ/mol of atoms
Space group   R-3, No. 148
Energy   -5.979 eV per atom

Unit cell a=8.1953 b=8.1953 c=8.1953 alpha=100.67 beta=100.67 gamma=100.67
Fractional positions:
1 Tb 0.8242 0.5823 0.4268
2 Tb 0.4268 0.8242 0.5823
3 Tb 0.5823 0.4268 0.8242
4 Tb 0.1758 0.4177 0.5732
5 Tb 0.5732 0.1758 0.4177
6 Tb 0.4177 0.5732 0.1758
7 Tb 0.0767 0.9439 0.3251
8 Tb 0.0561 0.6749 0.9233
9 Tb 0.6749 0.9233 0.0561
10 Tb 0.9233 0.0561 0.6749
11 Tb 0.9439 0.3251 0.0767
12 Tb 0.3251 0.0767 0.9439
13 Cu 0.0000 0.0000 0.0000
14 Rh 0.6935 0.8646 0.3835
15 Rh 0.6165 0.3065 0.1354
16 Rh 0.1354 0.6165 0.3065
17 Rh 0.3065 0.1354 0.6165
18 Rh 0.3835 0.6935 0.8646
19 Rh 0.8646 0.3835 0.6935

No. 5
# Tb4CuRh2

A relaxed Tb4CuRh2 crystal (PBE-GGA, Alexandria).

N(E_F)   5.96 states/eV per cell
E above lowest polymorph   0.000 eV per formula unit
Formation enthalpy at 0 K   -53.7 kJ/mol of atoms
Space group   R-3m, No. 166
Energy   -5.888 eV per atom

Unit cell a=4.8598 b=4.8598 c=8.4360 alpha=73.26 beta=73.26 gamma=60.00
Fractional positions:
1 Rh 0.7488 0.7488 0.7535
2 Rh 0.2512 0.2512 0.2465
3 Tb 0.8741 0.8741 0.3777
4 Tb 0.1259 0.1259 0.6223
5 Tb 0.6234 0.6234 0.1297
6 Tb 0.3766 0.3766 0.8703
7 Cu 0.0000 0.0000 0.0000

No. 6
# TbCu4Rh

A relaxed TbCu4Rh crystal (PBE-GGA, Alexandria).

N(E_F)   2.18 states/eV per cell
Formation enthalpy at 0 K   -26.6 kJ/mol of atoms
Space group   F-43m, No. 216
Energy   -5.004 eV per atom

Unit cell a=4.9861 b=4.9861 c=4.9861 alpha=60.00 beta=60.00 gamma=60.00
Fractional positions:
1 Rh 0.2500 0.2500 0.2500
2 Tb 0.0000 0.0000 0.0000
3 Cu 0.6239 0.6239 0.1283
4 Cu 0.6239 0.1283 0.6239
5 Cu 0.6239 0.6239 0.6239
6 Cu 0.1283 0.6239 0.6239